Dy8CSe3S4 | PBE-GGA | relaxed

Cell lengths 7.8618, 7.8618, 7.8618 Å; angles 60.64, 60.64, 60.64 degrees
Sites, in units of the cell vectors:
Dy: 0.2173 0.7723 0.7723
Dy: 0.2277 0.2277 0.7827
Dy: 0.2277 0.7827 0.2277
Dy: 0.2429 0.2429 0.2429
Dy: 0.7571 0.7571 0.7571
Dy: 0.7723 0.2173 0.7723
Dy: 0.7723 0.7723 0.2173
Dy: 0.7827 0.2277 0.2277
C: 0.0000 0.0000 0.0000
Se: 0.0000 0.5000 0.5000
Se: 0.5000 0.0000 0.5000
Se: 0.5000 0.5000 0.0000
S: 0.0000 0.0000 0.5000
S: 0.0000 0.5000 0.0000
S: 0.5000 0.0000 0.0000
S: 0.5000 0.5000 0.5000

Values from the calculation:
Spin magnetization: 0.000 μB per atom
Raw total energy: -6.30 eV/atom
Formation energy without anion corrections: -27.80 eV/f.u.


Dy6C3Se2S | PBE-GGA | relaxed

Cell lengths 8.6734, 8.6734, 7.8193 Å; angles 106.22, 106.22, 24.99 degrees
Sites, in units of the cell vectors:
Dy: 0.0098 0.0098 0.2297
Dy: 0.3250 0.3250 0.4435
Dy: 0.3448 0.3448 0.8905
Dy: 0.6552 0.6552 0.1095
Dy: 0.6750 0.6750 0.5565
Dy: 0.9902 0.9902 0.7703
C: 0.1657 0.1657 0.3347
C: 0.5000 0.5000 0.0000
C: 0.8343 0.8343 0.6653
Se: 0.1669 0.1669 0.8336
Se: 0.8331 0.8331 0.1664
S: 0.5000 0.5000 0.5000

Values from the calculation:
Spin magnetization: 0.000 μB per atom
Raw total energy: -6.73 eV/atom
Formation energy without anion corrections: -14.37 eV/f.u.


Dy6C2Se3S | PBE-GGA | relaxed

Cell lengths 8.7987, 8.7987, 7.9775 Å; angles 104.86, 104.86, 25.07 degrees
Sites, in units of the cell vectors:
Dy: 0.0201 0.0201 0.2543
Dy: 0.3223 0.3223 0.4420
Dy: 0.3301 0.3301 0.8751
Dy: 0.6699 0.6699 0.1249
Dy: 0.6777 0.6777 0.5580
Dy: 0.9799 0.9799 0.7457
C: 0.1683 0.1683 0.3336
C: 0.8317 0.8317 0.6664
Se: 0.1609 0.1609 0.8335
Se: 0.5000 0.5000 0.5000
Se: 0.8391 0.8391 0.1665
S: 0.5000 0.5000 0.0000

Values from the calculation:
Spin magnetization: 0.000 μB per atom
Raw total energy: -6.50 eV/atom
Formation energy without anion corrections: -17.38 eV/f.u.


Dy8CSe4S3 | PBE-GGA | relaxed

Cell lengths 8.0103, 8.0103, 8.0103 Å; angles 58.74, 58.74, 58.74 degrees
Sites, in units of the cell vectors:
Dy: 0.2421 0.2421 0.2421
Dy: 0.2632 0.7254 0.7254
Dy: 0.2746 0.2746 0.7368
Dy: 0.2746 0.7368 0.2746
Dy: 0.7254 0.2632 0.7254
Dy: 0.7254 0.7254 0.2632
Dy: 0.7368 0.2746 0.2746
Dy: 0.7579 0.7579 0.7579
C: 0.5000 0.5000 0.5000
Se: 0.0000 0.0000 0.0000
Se: 0.0000 0.5000 0.5000
Se: 0.5000 0.0000 0.5000
Se: 0.5000 0.5000 0.0000
S: 0.0000 0.0000 0.5000
S: 0.0000 0.5000 0.0000
S: 0.5000 0.0000 0.0000

Values from the calculation:
Spin magnetization: 0.000 μB per atom
Raw total energy: -6.26 eV/atom
Formation energy without anion corrections: -27.80 eV/f.u.